# 1
Here is an optimized crystal structure of Zn2Cd2SnAu5 from the Alexandria database. Energies are from GGA-PBE.

```
20
Lattice="4.098 0.000 0.000 0.000 9.744 0.000 0.000 0.000 9.744" Properties=species:S:1:pos:R:3 pbc="T T T"
Au 2.049 7.810 8.878
Au 2.049 0.000 4.872
Au 2.049 8.878 1.934
Au 2.049 6.806 4.006
Au 2.049 4.006 2.938
Au 2.049 0.866 7.810
Au 2.049 5.738 6.806
Au 2.049 4.872 0.000
Au 2.049 2.938 5.738
Au 2.049 1.934 0.866
Cd 0.000 6.553 1.681
Cd 0.000 3.191 8.063
Cd 0.000 8.063 6.553
Cd 0.000 1.681 3.191
Zn 0.000 6.068 8.548
Zn 0.000 1.196 6.068
Zn 0.000 8.548 3.676
Zn 0.000 3.676 1.196
Sn 0.000 0.000 0.000
Sn 0.000 4.872 4.872
```

Results
D(E_F) (states/eV/cell): 7.7
Symmetry: No. 127
Total energy (eV/atom): -2.572
Energy relative to the elements (eV/atom): -0.0951
Size of the total moment (μB per atom): 0.00



# 2
Here is an optimized crystal structure of ZnCdSnAu from the Alexandria database. Energies are from GGA-PBE.

```
4
Lattice="4.915 0.000 0.000 2.458 4.257 0.000 2.458 1.419 4.013" Properties=species:S:1:pos:R:3 pbc="T T T"
Au 4.915 2.838 2.007
Zn 0.000 0.000 0.000
Sn 2.458 1.419 1.003
Cd 7.373 4.257 3.010
```

Results
D(E_F) (states/eV/cell): 0.7
Symmetry: No. 216
Total energy (eV/atom): -2.349
Energy relative to the elements (eV/atom): 0.0181
Size of the total moment (μB per atom): 0.00



# 3
Here is an optimized crystal structure of Sr2CdAu from the Alexandria database. Energies are from GGA-PBE.

```
8
Lattice="-3.472 2.701 -2.005 -4.027 -5.042 0.181 -0.597 4.848 7.564" Properties=species:S:1:pos:R:3 pbc="T T T"
Cd -5.400 0.117 0.768
Cd -2.695 2.389 4.972
Au -2.445 -0.111 1.170
Au -5.651 2.618 4.570
Sr -4.328 -0.428 4.005
Sr -3.767 2.935 1.735
Sr -4.004 5.506 5.609
Sr -4.092 -2.999 0.131
```

Results
D(E_F) (states/eV/cell): 4.2
Symmetry: No. 11
Total energy (eV/atom): -2.427
Energy relative to the elements (eV/atom): -0.5378
Size of the total moment (μB per atom): 0.00



# 4
Here is an optimized crystal structure of Sr2Cd3Au6 from the Alexandria database. Energies are from GGA-PBE.

```
11
Lattice="-0.271 3.160 -2.749 -7.595 -2.333 -1.933 -2.315 5.033 6.015" Properties=species:S:1:pos:R:3 pbc="T T T"
Cd -1.999 0.545 0.823
Cd -0.135 1.580 -1.374
Cd -7.912 2.156 3.258
Au -6.298 3.259 1.164
Au -3.883 2.601 0.169
Au -9.179 2.599 0.689
Au -7.445 5.017 3.298
Au -1.002 3.261 0.644
Au -2.736 0.843 -1.965
Sr -3.929 2.782 3.586
Sr -5.981 -0.081 0.496
```

Results
D(E_F) (states/eV/cell): 4.4
Symmetry: No. 65
Total energy (eV/atom): -2.734
Energy relative to the elements (eV/atom): -0.3908
Size of the total moment (μB per atom): 0.00



# 5
Here is an optimized crystal structure of SrCd4Au2 from the Alexandria database. Energies are from GGA-PBE.

```
14
Lattice="-0.925 1.652 4.051 5.126 -5.983 3.610 6.753 5.391 -0.656" Properties=species:S:1:pos:R:3 pbc="T T T"
Cd 2.802 1.300 0.110
Cd 9.078 -1.892 2.845
Cd 4.340 3.091 2.199
Cd 6.615 -2.031 4.807
Cd 2.393 -1.559 1.182
Cd 7.326 2.942 2.942
Cd 9.487 0.968 1.772
Cd 3.628 -1.882 4.064
Au 3.078 0.650 2.906
Au 7.877 0.411 4.099
Au 5.455 -3.686 2.749
Au 6.425 3.094 0.206
Sr -0.463 0.826 2.026
Sr 5.940 -0.296 1.477
```

Results
D(E_F) (states/eV/cell): 4.0
Symmetry: No. 136
Total energy (eV/atom): -2.097
Energy relative to the elements (eV/atom): -0.3973
Size of the total moment (μB per atom): 0.00



# 6
Here is an optimized crystal structure of Sr2CdAu from the Alexandria database. Energies are from GGA-PBE.

```
4
Lattice="5.380 0.000 0.000 2.690 4.659 0.000 2.690 1.553 4.393" Properties=species:S:1:pos:R:3 pbc="T T T"
Au 5.380 3.106 2.196
Sr 2.690 1.553 1.098
Sr 0.000 0.000 0.000
Cd 8.070 4.659 3.295
```

Results
D(E_F) (states/eV/cell): 3.5
Symmetry: No. 216
Total energy (eV/atom): -2.163
Energy relative to the elements (eV/atom): -0.2741
Size of the total moment (μB per atom): 0.00



# 7
Here is an optimized crystal structure of Sr2Cd5Au12 from the Alexandria database. Energies are from GGA-PBE.

```
19
Lattice="7.417 0.140 0.776 0.713 7.384 0.776 0.151 0.140 7.456" Properties=species:S:1:pos:R:3 pbc="T T T"
Sr 2.925 2.706 3.181
Sr 5.357 4.958 5.827
Cd 3.709 0.070 0.388
Cd 0.076 0.070 3.728
Cd 0.834 0.771 0.907
Cd 0.357 3.692 0.388
Cd 7.448 6.893 8.101
Au 6.566 2.741 3.525
Au 5.346 2.378 0.776
Au 1.716 4.923 5.483
Au 3.241 6.334 3.525
Au 2.785 5.146 0.776
Au 2.962 2.741 6.839
Au 5.320 4.923 2.169
Au 5.041 1.330 5.483
Au 0.325 2.378 5.392
Au 5.172 0.140 2.840
Au 0.540 5.146 2.840
Au 2.396 0.140 5.392
```

Results
D(E_F) (states/eV/cell): 3.6
Symmetry: No. 166
Total energy (eV/atom): -2.815
Energy relative to the elements (eV/atom): -0.3269
Size of the total moment (μB per atom): 0.00



# 8
Here is an optimized crystal structure of Sr2Cd5Au from the Alexandria database. Energies are from GGA-PBE.

```
16
Lattice="-0.957 -0.033 4.609 -6.199 -5.977 -3.735 6.707 -7.791 1.337" Properties=species:S:1:pos:R:3 pbc="T T T"
Sr 3.353 -3.895 0.668
Sr 0.000 0.000 0.000
Sr 0.376 -9.607 2.413
Sr -0.826 -4.194 -0.202
Au -0.940 -11.202 -0.276
Au 0.490 -2.600 2.487
Cd 3.204 -7.069 3.018
Cd -1.961 -6.743 1.948
Cd -3.848 -4.550 1.572
Cd -1.216 -8.371 -0.313
Cd -3.654 -6.733 -0.808
Cd -2.224 -1.958 1.928
Cd 3.398 -9.251 0.639
Cd 1.774 -11.844 0.283
Cd 0.766 -5.430 2.524
Cd 1.511 -7.058 0.263
```

Results
D(E_F) (states/eV/cell): 7.7
Symmetry: No. 63
Total energy (eV/atom): -1.761
Energy relative to the elements (eV/atom): -0.3592
Size of the total moment (μB per atom): 0.00